1.
Entry from Alexandria: a relaxed structure of LiSe (GGA-PBE).

The structure belongs to space group P2_13 (No. 198); the cell edges are 5.2436, 5.2436 and 5.2436 Å and the angles 90.00°, 90.00° and 90.00°. The asymmetric unit holds Li at (0.0882, 0.4118, 0.5882) and Se at (0.0847, 0.9153, 0.4153).

As for the distance to the lowest polymorph of the same formula: 0.317 eV/atom. The value obtained for the energy relative to the elements, uncorrected is -1.19 eV per formula unit. The calculation puts the total energy at -26.33 eV/cell. The magnetization is 0.00 μB per formula unit.


2.
Entry from Alexandria: a relaxed structure of Cr2GaSn2 (GGA-PBE).

The structure belongs to space group P4/mbm (No. 127); the cell edges are 6.4612, 6.4612 and 4.1430 Å and the angles 90.00°, 90.00° and 90.00°. The asymmetric unit holds Cr at (0.1270, 0.3730, 0.0000), Ga at (0.0000, 0.0000, 0.0000) and Sn at (0.1704, 0.6704, 0.5000).

Its calculated formation energy is 0.25 eV/atom. The calculation puts the total energy at -58.06 eV/cell. The magnetization is 1.42 μB per formula unit.


3.
Entry from Alexandria: a relaxed structure of ZrSi2Rh (GGA-PBE).

The structure belongs to space group C2/m (No. 12); the cell edges are 7.6802, 3.0149 and 5.6912 Å and the angles 90.00°, 100.39° and 90.00°. The asymmetric unit holds Zr at (0.0000, 0.0000, 0.0000), Si at (0.2398, 0.0000, 0.6907) and Rh at (0.0000, 0.5000, 0.5000).

The value obtained for the energy relative to the elements, uncorrected is -2.53 eV per formula unit. The calculation puts the total energy at -58.56 eV/cell. The magnetization is 0.00 μB per formula unit.


4.
Entry from Alexandria: a relaxed structure of Ca2Zn3Ga4Si (GGA-PBE).

The structure belongs to space group P-4m2 (No. 115); the cell edges are 4.1645, 4.1645 and 11.1141 Å and the angles 90.00°, 90.00° and 90.00°. The asymmetric unit holds Ca at (0.0000, 0.5000, 0.2463), Zn at (0.0000, 0.0000, 0.0000), Zn at (0.0000, 0.5000, 0.6411), Ga at (0.0000, 0.0000, 0.5000), Ga at (0.0000, 0.5000, 0.8627), Ga at (0.5000, 0.5000, 0.5000) and Si at (0.5000, 0.5000, 0.0000).

The value obtained for the energy relative to the elements, uncorrected is -3.09 eV per formula unit. The calculation puts the total energy at -28.44 eV/cell. The magnetization is 0.00 μB per formula unit.


5.
Entry from Alexandria: a relaxed structure of YSbTe2N (GGA-PBE).

The structure belongs to space group P4/mmm (No. 123); the cell edges are 5.9590, 5.9590 and 4.2641 Å and the angles 90.00°, 90.00° and 90.00°. The asymmetric unit holds Y at (0.0000, 0.0000, 0.0000), Sb at (0.5000, 0.5000, 0.5000), Te at (0.0000, 0.5000, 0.0000) and N at (0.0000, 0.0000, 0.5000).

As for the distance to the lowest polymorph of the same formula: 0.237 eV/atom. The value obtained for the energy relative to the elements, uncorrected is 1.23 eV per formula unit. The calculation puts the total energy at -23.97 eV/cell. The magnetization is 1.53 μB per formula unit.


6.
Entry from Alexandria: a relaxed structure of Pr3US6 (GGA-PBE).

The structure belongs to space group Cmc2_1 (No. 36); the cell edges are 11.1390, 13.6752 and 7.0108 Å and the angles 90.00°, 90.00° and 90.00°. The asymmetric unit holds Pr at (0.0000, 0.0983, 0.0000), Pr at (0.1910, 0.3954, 0.9040), U at (0.0000, 0.3375, 0.3927), S at (0.0000, 0.2719, 0.7522), S at (0.0000, 0.4909, 0.1374), S at (0.1623, 0.0282, 0.7051) and S at (0.1629, 0.2394, 0.1961).

The value obtained for the energy relative to the elements, uncorrected is -17.89 eV per formula unit. The calculation puts the total energy at -273.11 eV/cell. The magnetization is 3.00 μB per formula unit.